Here is LiMg4Ge2 after structural relaxation from Alexandria via LeMat-Bulk. Energies are from PBE.

As for the crystal system: tetragonal. Its total energy is -2.702 eV per atom. The calculated formation energy is -0.20 eV/atom.

The space group is P4/mmm (No. 123) and the conventional cell measures 4.6434, 4.6434 and 6.5486 Å, with angles of 90.00, 90.00 and 90.00 degrees. The distinct sites, in fractional coordinates, are Li at (0.0000, 0.0000, 0.0000), Mg at (0.0000, 0.5000, 0.2601), Ge at (0.0000, 0.0000, 0.5000) and Ge at (0.5000, 0.5000, 0.0000).

***

Here is Tb2Ho5Cu4 after structural relaxation from Alexandria via LeMat-Bulk. Energies are from PBE.

As for the crystal system: monoclinic. Its total energy is -4.393 eV per atom. The calculated formation energy is 0.02 eV/atom.

The space group is C2/m (No. 12) and the conventional cell measures 23.4582, 3.5910 and 6.9533 Å, with angles of 90.00, 107.18 and 90.00 degrees. The distinct sites, in fractional coordinates, are Tb at (0.2389, 0.0000, 0.2235), Ho at (0.0000, 0.0000, 0.5000), Ho at (0.1233, 0.5000, 0.8727), Ho at (0.1266, 0.5000, 0.3708), Cu at (0.0013, 0.5000, 0.1789) and Cu at (0.0587, 0.0000, 0.0583).